This record from Alexandria describes NaCaNb3 after structural relaxation. The functional is PBE.

```
NaCaNb3
1.0
4.900 0.000 0.000
0.000 4.900 0.000
0.000 0.000 4.900
Na Ca Nb
1 1 3
Direct
0.000 0.000 0.000
0.500 0.500 0.500
0.000 0.000 0.500
0.000 0.500 0.000
0.500 0.000 0.000
```

Computed properties:
Offset from the most stable computed form = 0 meV/atom
Magnetic moment = 0.0 μB per formula unit
DFT formation energy = 1.917 eV per atom
N(E_F) = 7.48 states/eV/f.u.

This record from Alexandria describes TiReP2Cl after structural relaxation. The functional is PBE.

```
TiReP2Cl
1.0
4.812 0.000 0.000
0.000 4.812 0.000
0.000 0.000 4.488
Ti Re P Cl
1 1 2 1
Direct
0.000 0.000 0.000
0.500 0.500 0.500
0.000 0.500 0.000
0.500 0.000 0.000
0.000 0.000 0.500
```

Computed properties:
Raw formation energy = 84.0 kJ/mol of atoms
Offset from the most stable computed form = 230 meV/atom
Magnetic moment = 4.3 μB per formula unit
N(E_F) = 2.92 states/eV/f.u.

- offset from the most stable computed form of number 1 (NaCaNb3)?
  0 meV/atom

- Number 1 is which compound?
  NaCaNb3